1.
Here is crystalline YZn11Ni at its relaxed geometry from the Alexandria database. Energies are from PBE.

Mass density   7.2 Mg/m³

a = 6.7619 Å, b = 6.7619 Å, c = 6.7609 Å
α = 98.20°, β = 98.20°, γ = 135.52°
Element x y z (fractional)
Y (0.0000, 0.0000, 0.0000)
Zn (0.0000, 0.0000, 0.5000)
Zn (0.0000, 0.5000, 0.0000)
Zn (0.0225, 0.3673, 0.3579)
Zn (0.2892, 0.5034, 0.7796)
Zn (0.3673, 0.0225, 0.3579)
Zn (0.4966, 0.7108, 0.2204)
Zn (0.5000, 0.0000, 0.0000)
Zn (0.5034, 0.2892, 0.7796)
Zn (0.6327, 0.9775, 0.6421)
Zn (0.7108, 0.4966, 0.2204)
Zn (0.9775, 0.6327, 0.6421)
Ni (0.5000, 0.5000, 0.5000)


2.
Here is crystalline Y2Zn3Ni at its relaxed geometry from the Alexandria database. Energies are from PBE.

Mass density   6.1 Mg/m³

a = 3.6094 Å, b = 4.3271 Å, c = 7.5740 Å
α = 90.00°, β = 90.00°, γ = 90.00°
Element x y z (fractional)
Y (0.0000, 0.0000, 0.0000)
Y (0.0000, 0.5000, 0.4564)
Zn (0.5000, 0.0000, 0.6377)
Zn (0.5000, 0.5000, 0.1432)
Zn (0.5000, 0.5000, 0.8074)
Ni (0.5000, 0.0000, 0.3082)


3.
Here is crystalline Y2ZnNi3 at its relaxed geometry from the Alexandria database. Energies are from PBE.

Mass density   7.1 Mg/m³

a = 5.2525 Å, b = 5.2525 Å, c = 8.2029 Å
α = 90.00°, β = 90.00°, γ = 120.00°
Element x y z (fractional)
Y (0.3333, 0.6667, 0.0604)
Y (0.3333, 0.6667, 0.4396)
Y (0.6667, 0.3333, 0.5604)
Y (0.6667, 0.3333, 0.9396)
Zn (0.0000, 0.0000, 0.0000)
Zn (0.0000, 0.0000, 0.5000)
Ni (0.1680, 0.3359, 0.7500)
Ni (0.1680, 0.8320, 0.7500)
Ni (0.3359, 0.1680, 0.2500)
Ni (0.6641, 0.8320, 0.7500)
Ni (0.8320, 0.1680, 0.2500)
Ni (0.8320, 0.6641, 0.2500)


4.
Here is crystalline YZnNi3 at its relaxed geometry from the Alexandria database. Energies are from PBE.

Mass density   6.4 Mg/m³

a = 4.3995 Å, b = 4.3995 Å, c = 4.3995 Å
α = 90.00°, β = 90.00°, γ = 90.00°
Element x y z (fractional)
Y (0.0000, 0.0000, 0.0000)
Zn (0.5000, 0.5000, 0.5000)
Ni (0.0000, 0.5000, 0.5000)
Ni (0.5000, 0.0000, 0.5000)
Ni (0.5000, 0.5000, 0.0000)


5.
Here is crystalline Y2Zn12Ni5 at its relaxed geometry from the Alexandria database. Energies are from PBE.

Mass density   7.4 Mg/m³

a = 6.6100 Å, b = 6.6100 Å, c = 6.6100 Å
α = 83.59°, β = 83.59°, γ = 83.59°
Element x y z (fractional)
Y (0.1691, 0.1691, 0.1691)
Y (0.8309, 0.8309, 0.8309)
Zn (0.1554, 0.1554, 0.6411)
Zn (0.1554, 0.6411, 0.1554)
Zn (0.2132, 0.5000, 0.7868)
Zn (0.2132, 0.7868, 0.5000)
Zn (0.3589, 0.8446, 0.8446)
Zn (0.5000, 0.2132, 0.7868)
Zn (0.5000, 0.7868, 0.2132)
Zn (0.6411, 0.1554, 0.1554)
Zn (0.7868, 0.2132, 0.5000)
Zn (0.7868, 0.5000, 0.2132)
Zn (0.8446, 0.3589, 0.8446)
Zn (0.8446, 0.8446, 0.3589)
Ni (0.0000, 0.5000, 0.5000)
Ni (0.3984, 0.3984, 0.3984)
Ni (0.5000, 0.0000, 0.5000)
Ni (0.5000, 0.5000, 0.0000)
Ni (0.6016, 0.6016, 0.6016)


6.
Here is crystalline Y4Zn3Ni at its relaxed geometry from the Alexandria database. Energies are from PBE.

Mass density   5.8 Mg/m³

a = 3.5300 Å, b = 3.5300 Å, c = 14.1413 Å
α = 90.00°, β = 90.00°, γ = 90.00°
Element x y z (fractional)
Y (0.0000, 0.0000, 0.1153)
Y (0.0000, 0.0000, 0.3720)
Y (0.0000, 0.0000, 0.6280)
Y (0.0000, 0.0000, 0.8847)
Zn (0.5000, 0.5000, 0.2455)
Zn (0.5000, 0.5000, 0.5000)
Zn (0.5000, 0.5000, 0.7545)
Ni (0.5000, 0.5000, 0.0000)


7.
Here is crystalline YZn4Ni4 at its relaxed geometry from the Alexandria database. Energies are from PBE.

Mass density   7.4 Mg/m³

a = 7.8714 Å, b = 7.8714 Å, c = 4.2496 Å
α = 90.00°, β = 90.00°, γ = 90.00°
Element x y z (fractional)
Y (0.2500, 0.2500, 0.2500)
Y (0.7500, 0.7500, 0.7500)
Zn (0.1180, 0.8334, 0.7384)
Zn (0.1666, 0.6180, 0.2384)
Zn (0.3334, 0.8820, 0.2384)
Zn (0.3820, 0.6666, 0.7384)
Zn (0.6180, 0.3334, 0.2616)
Zn (0.6666, 0.1180, 0.7616)
Zn (0.8334, 0.3820, 0.7616)
Zn (0.8820, 0.1666, 0.2616)
Ni (0.0273, 0.1213, 0.7606)
Ni (0.1213, 0.4727, 0.7394)
Ni (0.3787, 0.0273, 0.7394)
Ni (0.4727, 0.3787, 0.7606)
Ni (0.5273, 0.6213, 0.2394)
Ni (0.6213, 0.9727, 0.2606)
Ni (0.8787, 0.5273, 0.2606)
Ni (0.9727, 0.8787, 0.2394)


8.
Here is crystalline YZn10Ni2 at its relaxed geometry from the Alexandria database. Energies are from PBE.

Mass density   7.3 Mg/m³

a = 8.8578 Å, b = 6.7741 Å, c = 6.7176 Å
α = 82.07°, β = 49.24°, γ = 48.69°
Element x y z (fractional)
Y (0.0000, 0.0000, 0.0000)
Zn (0.0000, 0.5000, 0.0000)
Zn (0.0155, 0.6527, 0.3473)
Zn (0.2826, 0.5078, 0.4922)
Zn (0.3473, 0.9845, 0.0155)
Zn (0.4922, 0.7174, 0.2826)
Zn (0.5000, 0.0000, 0.5000)
Zn (0.5078, 0.2826, 0.7174)
Zn (0.6527, 0.0155, 0.9845)
Zn (0.7174, 0.4922, 0.5078)
Zn (0.9845, 0.3473, 0.6527)
Ni (0.0000, 0.0000, 0.5000)
Ni (0.5000, 0.5000, 0.0000)


9.
Here is crystalline Y3ZnNi8 at its relaxed geometry from the Alexandria database. Energies are from PBE.

Mass density   7.5 Mg/m³

a = 8.6762 Å, b = 8.6762 Å, c = 8.6762 Å
α = 33.45°, β = 33.45°, γ = 33.45°
Element x y z (fractional)
Y (0.0000, 0.0000, 0.0000)
Y (0.1291, 0.1291, 0.1291)
Y (0.6138, 0.6138, 0.6138)
Zn (0.4923, 0.4923, 0.4923)
Ni (0.0580, 0.0580, 0.5634)
Ni (0.0580, 0.5634, 0.0580)
Ni (0.0640, 0.5605, 0.5605)
Ni (0.3107, 0.3107, 0.3107)
Ni (0.5605, 0.0640, 0.5605)
Ni (0.5605, 0.5605, 0.0640)
Ni (0.5634, 0.0580, 0.0580)
Ni (0.8111, 0.8111, 0.8111)


10.
Here is crystalline YZnNi3 at its relaxed geometry from the Alexandria database. Energies are from PBE.

Mass density   5.3 Mg/m³

a = 4.6925 Å, b = 4.6925 Å, c = 4.6925 Å
α = 90.00°, β = 90.00°, γ = 90.00°
Element x y z (fractional)
Y (0.0000, 0.0000, 0.0000)
Zn (0.5000, 0.5000, 0.5000)
Ni (0.0000, 0.0000, 0.5000)
Ni (0.0000, 0.5000, 0.0000)
Ni (0.5000, 0.0000, 0.0000)


11.
Here is crystalline Y2Zn2Ni15 at its relaxed geometry from the Alexandria database. Energies are from PBE.

Mass density   8.1 Mg/m³

a = 6.3001 Å, b = 6.3001 Å, c = 6.3001 Å
α = 82.77°, β = 82.77°, γ = 82.77°
Element x y z (fractional)
Y (0.1536, 0.1536, 0.1536)
Y (0.8464, 0.8464, 0.8464)
Zn (0.4001, 0.4001, 0.4001)
Zn (0.5999, 0.5999, 0.5999)
Ni (0.0000, 0.5000, 0.5000)
Ni (0.1549, 0.1549, 0.6546)
Ni (0.1549, 0.6546, 0.1549)
Ni (0.2019, 0.5000, 0.7981)
Ni (0.2019, 0.7981, 0.5000)
Ni (0.3454, 0.8451, 0.8451)
Ni (0.5000, 0.0000, 0.5000)
Ni (0.5000, 0.2019, 0.7981)
Ni (0.5000, 0.5000, 0.0000)
Ni (0.5000, 0.7981, 0.2019)
Ni (0.6546, 0.1549, 0.1549)
Ni (0.7981, 0.2019, 0.5000)
Ni (0.7981, 0.5000, 0.2019)
Ni (0.8451, 0.3454, 0.8451)
Ni (0.8451, 0.8451, 0.3454)


12.
Here is crystalline Y5ZnNi2 at its relaxed geometry from the Alexandria database. Energies are from PBE.

Mass density   5.4 Mg/m³

a = 8.4827 Å, b = 8.4827 Å, c = 8.4827 Å
α = 126.28°, β = 126.28°, γ = 79.43°
Element x y z (fractional)
Y (0.0000, 0.0000, 0.0000)
Y (0.0234, 0.5234, 0.8238)
Y (0.1996, 0.0234, 0.5000)
Y (0.3004, 0.8004, 0.8238)
Y (0.4766, 0.3004, 0.5000)
Y (0.5000, 0.5000, 0.0000)
Y (0.5234, 0.6996, 0.5000)
Y (0.6996, 0.1996, 0.1762)
Y (0.8004, 0.9766, 0.5000)
Y (0.9766, 0.4766, 0.1762)
Zn (0.2500, 0.2500, 0.0000)
Zn (0.7500, 0.7500, 0.0000)
Ni (0.1249, 0.3751, 0.5000)
Ni (0.3751, 0.8751, 0.2502)
Ni (0.6249, 0.1249, 0.7498)
Ni (0.8751, 0.6249, 0.5000)


13.
Here is crystalline Y2ZnNi3 at its relaxed geometry from the Alexandria database. Energies are from PBE.

Mass density   6.4 Mg/m³

a = 8.2029 Å, b = 7.9991 Å, c = 5.5487 Å
α = 71.96°, β = 68.01°, γ = 40.03°
Element x y z (fractional)
Y (0.2470, 0.7530, 0.7530)
Y (0.2500, 0.2500, 0.2500)
Y (0.7500, 0.7500, 0.7500)
Y (0.7530, 0.2470, 0.2470)
Zn (0.3336, 0.3336, 0.6664)
Zn (0.6664, 0.6664, 0.3336)
Ni (0.1644, 0.6702, 0.3298)
Ni (0.1647, 0.1647, 0.8353)
Ni (0.3298, 0.8356, 0.1644)
Ni (0.6702, 0.1644, 0.8356)
Ni (0.8353, 0.8353, 0.1647)
Ni (0.8356, 0.3298, 0.6702)


14.
Here is crystalline Y3Zn8Ni3 at its relaxed geometry from the Alexandria database. Energies are from PBE.

Mass density   6.7 Mg/m³

a = 7.9801 Å, b = 7.9801 Å, c = 7.9801 Å
α = 149.41°, β = 109.50°, γ = 78.78°
Element x y z (fractional)
Y (0.0000, 0.0000, 0.0000)
Y (0.3232, 0.3232, 0.0000)
Y (0.6768, 0.6768, 0.0000)
Zn (0.0287, 0.6695, 0.3592)
Zn (0.1658, 0.8832, 0.2827)
Zn (0.3103, 0.6695, 0.6408)
Zn (0.3995, 0.1168, 0.2827)
Zn (0.6005, 0.8832, 0.7173)
Zn (0.6897, 0.3305, 0.3592)
Zn (0.8342, 0.1168, 0.7173)
Zn (0.9713, 0.3305, 0.6408)
Ni (0.2914, 0.5000, 0.7914)
Ni (0.5000, 0.0000, 0.5000)
Ni (0.7086, 0.5000, 0.2086)


15.
Here is crystalline YZnNi at its relaxed geometry from the Alexandria database. Energies are from PBE.

Mass density   6.3 Mg/m³

a = 4.2287 Å, b = 4.2287 Å, c = 3.6476 Å
α = 90.00°, β = 90.00°, γ = 120.00°
Element x y z (fractional)
Y (0.0000, 0.0000, 0.0000)
Zn (0.6667, 0.3333, 0.5000)
Ni (0.3333, 0.6667, 0.5000)


16.
Here is crystalline Y4ZnNi at its relaxed geometry from the Alexandria database. Energies are from PBE.

Mass density   5.3 Mg/m³

a = 9.4557 Å, b = 9.4557 Å, c = 9.4557 Å
α = 60.00°, β = 60.00°, γ = 60.00°
Element x y z (fractional)
Y (0.1859, 0.1859, 0.8141)
Y (0.1859, 0.8141, 0.1859)
Y (0.1859, 0.8141, 0.8141)
Y (0.3973, 0.3973, 0.3973)
Y (0.3973, 0.3973, 0.8082)
Y (0.3973, 0.8082, 0.3973)
Y (0.5587, 0.5587, 0.9413)
Y (0.5587, 0.9413, 0.5587)
Y (0.5587, 0.9413, 0.9413)
Y (0.8082, 0.3973, 0.3973)
Y (0.8141, 0.1859, 0.1859)
Y (0.8141, 0.1859, 0.8141)
Y (0.8141, 0.8141, 0.1859)
Y (0.9413, 0.5587, 0.5587)
Y (0.9413, 0.5587, 0.9413)
Y (0.9413, 0.9413, 0.5587)
Zn (0.1713, 0.1713, 0.1713)
Zn (0.1713, 0.1713, 0.4861)
Zn (0.1713, 0.4861, 0.1713)
Zn (0.4861, 0.1713, 0.1713)
Ni (0.1801, 0.6066, 0.6066)
Ni (0.6066, 0.1801, 0.6066)
Ni (0.6066, 0.6066, 0.1801)
Ni (0.6066, 0.6066, 0.6066)


17.
Here is crystalline Y2Zn9Ni3 at its relaxed geometry from the Alexandria database. Energies are from PBE.

Mass density   7.1 Mg/m³

a = 7.5059 Å, b = 7.5059 Å, c = 10.2446 Å
α = 112.35°, β = 112.35°, γ = 58.55°
Element x y z (fractional)
Y (0.0881, 0.2486, 0.2412)
Y (0.2486, 0.0881, 0.7412)
Y (0.7514, 0.9119, 0.2588)
Y (0.9119, 0.7514, 0.7588)
Zn (0.0372, 0.8446, 0.0811)
Zn (0.1554, 0.9628, 0.4189)
Zn (0.1965, 0.3634, 0.5664)
Zn (0.2174, 0.5729, 0.2567)
Zn (0.3236, 0.4847, 0.9574)
Zn (0.3566, 0.6434, 0.7500)
Zn (0.3634, 0.1965, 0.0664)
Zn (0.4271, 0.7826, 0.2433)
Zn (0.4847, 0.3236, 0.4574)
Zn (0.5153, 0.6764, 0.5426)
Zn (0.5729, 0.2174, 0.7567)
Zn (0.6366, 0.8035, 0.9336)
Zn (0.6434, 0.3566, 0.2500)
Zn (0.6764, 0.5153, 0.0426)
Zn (0.7826, 0.4271, 0.7433)
Zn (0.8035, 0.6366, 0.4336)
Zn (0.8446, 0.0372, 0.5811)
Zn (0.9628, 0.1554, 0.9189)
Ni (0.0000, 0.5000, 0.0000)
Ni (0.1363, 0.6856, 0.4977)
Ni (0.3144, 0.8637, 0.0023)
Ni (0.5000, 0.0000, 0.5000)
Ni (0.6856, 0.1363, 0.9977)
Ni (0.8637, 0.3144, 0.5023)


18.
Here is crystalline YZn3Ni at its relaxed geometry from the Alexandria database. Energies are from PBE.

Mass density   6.1 Mg/m³

a = 4.5433 Å, b = 4.5433 Å, c = 4.5433 Å
α = 90.00°, β = 90.00°, γ = 90.00°
Element x y z (fractional)
Y (0.0000, 0.0000, 0.0000)
Zn (0.0000, 0.5000, 0.5000)
Zn (0.5000, 0.0000, 0.5000)
Zn (0.5000, 0.5000, 0.0000)
Ni (0.5000, 0.5000, 0.5000)


19.
Here is crystalline YZnNi at its relaxed geometry from the Alexandria database. Energies are from PBE.

Mass density   5.8 Mg/m³

a = 4.4157 Å, b = 4.4157 Å, c = 4.4157 Å
α = 60.00°, β = 60.00°, γ = 60.00°
Element x y z (fractional)
Y (0.0000, 0.0000, 0.0000)
Zn (0.5000, 0.5000, 0.5000)
Ni (0.2500, 0.2500, 0.2500)


20.
Here is crystalline Y8ZnNi2 at its relaxed geometry from the Alexandria database. Energies are from PBE.

Mass density   5.0 Mg/m³

a = 7.8480 Å, b = 7.8480 Å, c = 5.4426 Å
α = 97.63°, β = 97.63°, γ = 114.55°
Element x y z (fractional)
Y (0.0000, 0.0000, 0.0000)
Y (0.0470, 0.3051, 0.6057)
Y (0.1399, 0.6212, 0.1910)
Y (0.3051, 0.0470, 0.6057)
Y (0.4559, 0.7139, 0.7768)
Y (0.6212, 0.1399, 0.1910)
Y (0.7139, 0.4559, 0.7768)
Y (0.7611, 0.7611, 0.3822)
Zn (0.3810, 0.3810, 0.1868)
Ni (0.0757, 0.6850, 0.6911)
Ni (0.6850, 0.0757, 0.6911)


E_form in eV per atom, matching the order above: -0.21, -0.40, -0.41, 0.17, -0.29, -0.36, -0.13, -0.23, -0.40, 1.27, -0.24, -0.30, -0.37, -0.35, -0.38, -0.27, -0.31, -0.16, -0.25, -0.09